# AcTb5Y

A relaxed structure of AcTb5Y (PBE, Alexandria).

Cell: 6.660 6.660 11.558 Å, 102.83 102.83 95.94°
Element x y z (fractional)
1 Ac 0.000 0.500 0.000
2 Ac 0.500 0.000 0.500
3 Tb 0.064 0.273 0.534
4 Tb 0.075 0.925 0.250
5 Tb 0.273 0.064 0.034
6 Tb 0.295 0.448 0.331
7 Tb 0.448 0.295 0.831
8 Tb 0.552 0.705 0.169
9 Tb 0.705 0.552 0.669
10 Tb 0.727 0.936 0.966
11 Tb 0.925 0.075 0.750
12 Tb 0.936 0.727 0.466
13 Y 0.266 0.734 0.750
14 Y 0.734 0.266 0.250

Results
DOS at the Fermi energy: 21.17 states/eV per cell
Calculated total energy: -4.721 eV per atom

# AcTb4Y

A relaxed structure of AcTb4Y (PBE, Alexandria).

Cell: 6.705 6.705 6.705 Å, 60.00 60.00 60.00°
Element x y z (fractional)
1 Ac 0.000 0.000 0.000
2 Tb 0.128 0.624 0.624
3 Tb 0.624 0.128 0.624
4 Tb 0.624 0.624 0.128
5 Tb 0.624 0.624 0.624
6 Y 0.250 0.250 0.250

Results
Relative energy among the computed polymorphs: 112 kJ/mol of formula units
DOS at the Fermi energy: 12.27 states/eV per cell
Calculated total energy: -4.603 eV per atom